No. 1
Entry from the Alexandria database: CaAc2Ni after structural relaxation (PBE-GGA).

Properties
Final energy ... -4.0981 eV/atom
ρ ... 6.0 g/cm³
Symmetry ... R-3m
Polymorph energy (0 for the lowest one) ... 13.2 meV/atom
Size of the total moment ... 0.000 μB per cell

```
CaAc2Ni
1.0
-3.214 2.464 0.978
-1.630 -0.124 3.832
4.811 7.985 4.569
Ni Ac Ca
1 2 1
Cartesian
0.000 0.000 0.000
-0.547 1.977 2.096
0.514 8.348 7.283
-0.017 5.163 4.690
```

---

No. 2
Entry from the Alexandria database: CaAcNi10 after structural relaxation (PBE-GGA).

Properties
Final energy ... -5.4828 eV/atom
ρ ... 8.2 g/cm³
Symmetry ... Pmmm
Size of the total moment ... 3.606 μB per cell

```
CaAcNi10
1.0
3.966 0.000 0.000
0.000 5.005 0.000
0.000 0.000 8.691
Ca Ac Ni
1 1 10
Cartesian
0.000 0.000 0.000
0.000 2.502 4.345
0.000 0.000 2.821
0.000 2.502 7.304
0.000 2.502 1.387
0.000 0.000 5.870
1.983 0.000 4.345
1.983 2.502 0.000
1.983 1.243 2.123
1.983 3.762 6.567
1.983 3.762 2.123
1.983 1.243 6.567
```

---

| no. | V (Å³ per atom) |
| --- | --- |
| 1 | 38.0 |
| 2 | 14.4 |